Material: Mn2PtRh
Method: DFT, PBE-GGA
State: relaxed

The structure in POSCAR format:
```
Mn2PtRh
1.0
8.549 -0.113 -0.066
8.118 2.682 -0.066
8.118 1.251 2.373
Mn Pt Rh
2 1 1
Direct
0.498 0.498 0.498
0.002 0.002 0.002
0.250 0.250 0.250
0.750 0.750 0.750
```

---

Material: Mn2PtRh
Method: DFT, PBE-GGA
State: relaxed

The structure in POSCAR format:
```
Mn2PtRh
1.0
-1.685 3.775 0.816
-4.087 0.317 0.975
-1.158 0.985 3.930
Mn Pt Rh
2 1 1
Direct
0.500 0.500 0.500
0.000 0.000 0.000
0.250 0.250 0.250
0.750 0.750 0.750
```

---

Material: Mn2Pt2Rh
Method: DFT, PBE-GGA
State: relaxed

The structure in POSCAR format:
```
Mn2Pt2Rh
1.0
0.605 3.694 4.592
-3.077 -0.094 5.062
3.041 -3.422 -3.760
Mn Pt Rh
2 2 1
Direct
0.590 0.590 0.000
0.410 0.410 0.000
0.250 0.750 0.500
0.750 0.250 0.500
0.000 0.000 0.000
```

Summary:
Energy above the lowest structure with this stoichiometry ... 487 meV per atom

---

Material: MnPt6Rh8
Method: DFT, PBE-GGA
State: relaxed

The structure in POSCAR format:
```
MnPt6Rh8
1.0
5.218 0.000 0.000
0.000 6.355 -3.669
0.000 0.000 7.339
Pt Rh Mn
6 8 1
Direct
0.404 0.058 0.372
0.596 0.686 0.058
0.596 0.372 0.314
0.404 0.628 0.686
0.596 0.942 0.628
0.404 0.314 0.942
0.086 0.640 0.957
0.914 0.360 0.043
0.086 0.317 0.360
0.914 0.957 0.317
0.227 0.667 0.333
0.773 0.333 0.667
0.914 0.683 0.640
0.086 0.043 0.683
0.500 0.000 0.000
```

---

Number 1: formation enthalpy at 0 K -65 meV/atom, calculated volume 14.53 A^3/atom. Number 2: formation enthalpy at 0 K 361 meV/atom, calculated volume 13.22 A^3/atom. Number 3: formation enthalpy at 0 K 256 meV/atom, calculated volume 14.90 A^3/atom. Number 4: formation enthalpy at 0 K 213 meV/atom, calculated volume 16.22 A^3/atom.